An optimized crystal structure of InPRh. Source: Alexandria via LeMat-Bulk, functional GGA-PBE.

The space group is P4/mmm (No. 123) and the conventional cell measures 3.827, 3.827 and 4.423 Å, with angles of 90.00, 90.00 and 90.00 degrees. Symmetry generates all atoms from In at (0.000, 0.000, 0.000), P at (0.500, 0.500, 0.000) and Rh at (0.500, 0.500, 0.500).

Its total energy is -4.91 eV per atom. For the formation energy, the calculation gives 25.1 kJ per mole of atoms. The density of states at the Fermi level is 2.18 states/eV per cell.

An optimized crystal structure of InP2Rh. Source: Alexandria via LeMat-Bulk, functional GGA-PBE.

The space group is Pm (No. 6) and the conventional cell measures 3.890, 3.303 and 5.979 Å, with angles of 90.00, 108.74 and 90.00 degrees. Symmetry generates all atoms from In at (0.000, 0.000, 0.000), P at (0.290, 0.500, 0.513), P at (0.924, 0.000, 0.531) and Rh at (0.618, 0.500, 0.239).

Its total energy is -5.39 eV per atom. For the formation energy, the calculation gives -16.1 kJ per mole of atoms. The density of states at the Fermi level is 1.06 states/eV per cell.

An optimized crystal structure of InP2Rh. Source: Alexandria via LeMat-Bulk, functional GGA-PBE.

The space group is C2/m (No. 12) and the conventional cell measures 5.366, 7.048 and 4.175 Å, with angles of 90.00, 117.37 and 90.00 degrees. Symmetry generates all atoms from In at (0.000, 0.000, 0.000), P at (0.250, 0.250, 0.500) and Rh at (0.000, 0.500, 0.000).

Its total energy is -5.02 eV per atom. For the formation energy, the calculation gives 19.6 kJ per mole of atoms. The density of states at the Fermi level is 4.41 states/eV per cell.

An optimized crystal structure of InPRhS2. Source: Alexandria via LeMat-Bulk, functional GGA-PBE.

The space group is P4/mmm (No. 123) and the conventional cell measures 4.932, 4.932 and 4.344 Å, with angles of 90.00, 90.00 and 90.00 degrees. Symmetry generates all atoms from In at (0.000, 0.000, 0.000), P at (0.500, 0.500, 0.000), Rh at (0.500, 0.500, 0.500) and S at (0.000, 0.500, 0.500).

The calculation puts the distance to the lowest polymorph of the same formula at 0.000 eV/atom. Its total energy is -4.51 eV per atom. Its formation energy (no corrections) is 0.246 eV/atom. The density of states at the Fermi level is 3.68 states/eV per cell.

An optimized crystal structure of InPRh2S. Source: Alexandria via LeMat-Bulk, functional GGA-PBE.

The space group is P4/mmm (No. 123) and the conventional cell measures 4.958, 4.958 and 4.693 Å, with angles of 90.00, 90.00 and 90.00 degrees. Symmetry generates all atoms from In at (0.000, 0.000, 0.000), P at (0.500, 0.500, 0.500), Rh at (0.000, 0.500, 0.000) and S at (0.000, 0.000, 0.500).

Its total energy is -3.91 eV per atom. Its formation energy (no corrections) is 1.483 eV/atom. The density of states at the Fermi level is 4.78 states/eV per cell.

An optimized crystal structure of InPRhS2. Source: Alexandria via LeMat-Bulk, functional GGA-PBE.

The space group is P4/mmm (No. 123) and the conventional cell measures 4.946, 4.946 and 4.977 Å, with angles of 90.00, 90.00 and 90.00 degrees. Symmetry generates all atoms from In at (0.000, 0.000, 0.000), P at (0.000, 0.000, 0.500), Rh at (0.500, 0.500, 0.500) and S at (0.000, 0.500, 0.000).

The calculation puts the distance to the lowest polymorph of the same formula at 1.004 eV/atom. Its total energy is -3.50 eV per atom. Its formation energy (no corrections) is 1.250 eV/atom. The density of states at the Fermi level is 6.65 states/eV per cell.

An optimized crystal structure of InSbP2Rh. Source: Alexandria via LeMat-Bulk, functional GGA-PBE.

The space group is P4/mmm (No. 123) and the conventional cell measures 4.524, 4.524 and 5.528 Å, with angles of 90.00, 90.00 and 90.00 degrees. Symmetry generates all atoms from In at (0.000, 0.000, 0.000), Sb at (0.500, 0.500, 0.000), P at (0.000, 0.500, 0.500) and Rh at (0.000, 0.000, 0.500).

Its total energy is -4.68 eV per atom. Its formation energy (no corrections) is 0.329 eV/atom. The density of states at the Fermi level is 2.58 states/eV per cell.

An optimized crystal structure of InPRhSe2. Source: Alexandria via LeMat-Bulk, functional GGA-PBE.

The space group is P4/mmm (No. 123) and the conventional cell measures 4.795, 4.795 and 5.231 Å, with angles of 90.00, 90.00 and 90.00 degrees. Symmetry generates all atoms from In at (0.000, 0.000, 0.000), P at (0.500, 0.500, 0.000), Rh at (0.000, 0.000, 0.500) and Se at (0.000, 0.500, 0.500).

Its total energy is -3.95 eV per atom. Its formation energy (no corrections) is 0.546 eV/atom. The density of states at the Fermi level is 5.30 states/eV per cell.

An optimized crystal structure of Sm3InP2Rh9. Source: Alexandria via LeMat-Bulk, functional GGA-PBE.

The space group is P-3m1 (No. 164) and the conventional cell measures 6.0716, 6.0716 and 9.4464 Å, with angles of 90.00, 90.00 and 120.00 degrees. Symmetry generates all atoms from Sm at (0.0000, 0.0000, 0.0000), Sm at (0.3333, 0.6667, 0.7185), In at (0.0000, 0.0000, 0.5000), P at (0.3333, 0.6667, 0.1578), Rh at (0.0000, 0.5000, 0.0000) and Rh at (0.1491, 0.2983, 0.2641).

Its total energy is -6.86 eV per atom. For the formation energy, the calculation gives -58.3 kJ per mole of atoms. The density of states at the Fermi level is 8.31 states/eV per cell.

An optimized crystal structure of SrInP2Rh. Source: Alexandria via LeMat-Bulk, functional GGA-PBE.

The space group is P4/mmm (No. 123) and the conventional cell measures 5.354, 5.354 and 5.924 Å, with angles of 90.00, 90.00 and 90.00 degrees. Symmetry generates all atoms from Sr at (0.000, 0.000, 0.000), In at (0.000, 0.000, 0.500), P at (0.000, 0.500, 0.000) and Rh at (0.500, 0.500, 0.500).

Its total energy is -2.95 eV per atom. For the formation energy, the calculation gives 151.3 kJ per mole of atoms. The density of states at the Fermi level is 7.40 states/eV per cell.

An optimized crystal structure of TmInP2Rh5. Source: Alexandria via LeMat-Bulk, functional GGA-PBE.

The space group is P4/mmm (No. 123) and the conventional cell measures 4.017, 4.017 and 10.289 Å, with angles of 90.00, 90.00 and 90.00 degrees. Symmetry generates all atoms from Tm at (0.000, 0.000, 0.000), In at (0.000, 0.000, 0.500), P at (0.500, 0.500, 0.219), Rh at (0.000, 0.500, 0.318) and Rh at (0.500, 0.500, 0.000).

Its total energy is -6.69 eV per atom. For the formation energy, the calculation gives -58.2 kJ per mole of atoms. The density of states at the Fermi level is 3.00 states/eV per cell.

An optimized crystal structure of Tm2In2PRh4. Source: Alexandria via LeMat-Bulk, functional GGA-PBE.

The space group is I4/mmm (No. 139) and the conventional cell measures 6.265, 6.265 and 8.687 Å, with angles of 90.00, 90.00 and 90.00 degrees. Symmetry generates all atoms from Tm at (0.000, 0.000, 0.198), In at (0.000, 0.500, 0.250), P at (0.000, 0.000, 0.500) and Rh at (0.244, 0.244, 0.000).

Its total energy is -6.02 eV per atom. For the formation energy, the calculation gives -53.3 kJ per mole of atoms. The density of states at the Fermi level is 10.43 states/eV per cell.

Q: Number 12 is which compound?
A: Tm2In2PRh4

Please write out number 3 again, unchanged.
An optimized crystal structure of InP2Rh. Source: Alexandria via LeMat-Bulk, functional GGA-PBE.

The space group is C2/m (No. 12) and the conventional cell measures 5.366, 7.048 and 4.175 Å, with angles of 90.00, 117.37 and 90.00 degrees. Symmetry generates all atoms from In at (0.000, 0.000, 0.000), P at (0.250, 0.250, 0.500) and Rh at (0.000, 0.500, 0.000).

Its total energy is -5.02 eV per atom. For the formation energy, the calculation gives 19.6 kJ per mole of atoms. The density of states at the Fermi level is 4.41 states/eV per cell.